No. 1
A PBEsol-optimized structure of LaHgSb2I, computed with SCAN.

Cell: 5.354 5.354 5.957 Å, 90.00 90.00 90.00°
Space group P4/mmm (No. 123)
Symmetry-distinct sites (fractional):
1 La 0.000 0.000 0.000 [1 per cell]
2 Hg 0.500 0.500 0.500 [1 per cell]
3 Sb 0.000 0.500 0.500 [2 per cell]
4 I 0.500 0.500 0.000 [1 per cell]

Computed properties:
- energy relative to the elements, uncorrected (eV/atom) = -0.05
- D(E_F) (states/eV/cell) = 1.87
- E (eV/atom) = -44.56


No. 2
A PBEsol-optimized structure of KSeCl2, computed with SCAN.

Cell: 3.718 3.718 7.199 Å, 90.00 90.00 90.00°
Space group P4/mmm (No. 123)
Symmetry-distinct sites (fractional):
1 K 0.000 0.000 0.000 [1 per cell]
2 Se 0.000 0.000 0.500 [1 per cell]
3 Cl 0.500 0.500 0.252 [2 per cell]

Computed properties:
- energy relative to the elements, uncorrected (eV/atom) = -0.66
- D(E_F) (states/eV/cell) = 0.15
- E (eV/atom) = -11.75


No. 3
A PBEsol-optimized structure of LaTa2AuS, computed with SCAN.

Cell: 4.533 4.533 5.340 Å, 90.00 90.00 90.00°
Space group P4/mmm (No. 123)
Symmetry-distinct sites (fractional):
1 La 0.000 0.000 0.000 [1 per cell]
2 Ta 0.000 0.500 0.500 [2 per cell]
3 Au 0.500 0.500 0.000 [1 per cell]
4 S 0.000 0.000 0.500 [1 per cell]

Computed properties:
- energy relative to the elements, uncorrected (eV/atom) = 0.07
- D(E_F) (states/eV/cell) = 3.89
- E (eV/atom) = -50.94


No. 4
A PBEsol-optimized structure of MnCo3Ru, computed with SCAN.

Cell: 4.035 4.035 4.035 Å, 90.00 90.00 90.00°
Space group Pm-3m (No. 221)
Symmetry-distinct sites (fractional):
1 Mn 0.000 0.000 0.000 [1 per cell]
2 Co 0.000 0.000 0.500 [3 per cell]
3 Ru 0.500 0.500 0.500 [1 per cell]

Computed properties:
- D(E_F) (states/eV/cell) = 4.75
- energy relative to the elements (meV per atom) = 1445.9
- E (eV/atom) = -19.55


The highest D(E_F) belongs to which entry? MnCo3Ru


The highest E belongs to which entry? KSeCl2